Entry 1:
Compound: MnTcRh2
Source: Alexandria via LeMat-Bulk
Functional: PBE-GGA
Structure: optimized geometry

Fermi-level density of states	1.235	states/eV per atom
E above lowest polymorph	58	meV per atom
total moment	5.19	μB/cell
calculated total energy	-8.602	eV/atom
calculated formation energy	-0.04	eV per atom

a = 8.9740 Å, b = 2.7145 Å, c = 4.6474 Å
α = 90.00°, β = 99.97°, γ = 90.00°
Space group C2/m (No. 12)
Unique sites:
Mn (0.0000, 0.0000, 0.0000) [2 per cell]
Tc (0.0000, 0.5000, 0.5000) [2 per cell]
Rh (0.2502, 0.0000, 0.7498) [4 per cell]

Entry 2:
Compound: B4N
Source: Alexandria via LeMat-Bulk
Functional: PBE-GGA
Structure: optimized geometry

Fermi-level density of states	0.141	states/eV per atom
E above lowest polymorph	0	meV per atom
total moment	0.00	μB/cell
formation energy from raw total energies	0.30	eV/atom
calculated total energy	-6.708	eV/atom

a = 5.7272 Å, b = 3.1805 Å, c = 7.9391 Å
α = 90.00°, β = 102.34°, γ = 90.00°
Space group C2/c (No. 15)
Unique sites:
B (0.0286, 0.1896, 0.0947) [8 per cell]
B (0.1379, 0.3439, 0.9072) [8 per cell]
N (0.0000, 0.0764, 0.7500) [4 per cell]

Entry 3:
Compound: Bi2P2Cl
Source: Alexandria via LeMat-Bulk
Functional: PBE-GGA
Structure: optimized geometry

Fermi-level density of states	0.238	states/eV per atom
total moment	0.00	μB/cell
formation energy from raw total energies	-0.02	eV/atom
calculated total energy	-4.102	eV/atom

a = 4.5441 Å, b = 4.5441 Å, c = 13.6622 Å
α = 90.00°, β = 90.00°, γ = 90.00°
Space group I4/mmm (No. 139)
Unique sites:
Bi (0.0000, 0.0000, 0.1340) [4 per cell]
P (0.0000, 0.5000, 0.2500) [4 per cell]
Cl (0.0000, 0.0000, 0.5000) [2 per cell]

Entry 4:
Compound: Ti2ZnB
Source: Alexandria via LeMat-Bulk
Functional: PBE-GGA
Structure: optimized geometry

Fermi-level density of states	1.268	states/eV per atom
E above lowest polymorph	400	meV per atom
total moment	0.00	μB/cell
calculated total energy	-5.799	eV/atom
calculated formation energy	0.14	eV per atom

a = 6.5495 Å, b = 6.5495 Å, c = 5.3376 Å
α = 90.00°, β = 90.00°, γ = 90.00°
Space group I-42d (No. 122)
Unique sites:
Ti (0.2039, 0.2500, 0.1250) [8 per cell]
Zn (0.0000, 0.0000, 0.5000) [4 per cell]
B (0.0000, 0.0000, 0.0000) [4 per cell]